1.
Below is a geometry-optimized Nd2HoIn structure, with properties calculated at the GGA-PBE level.

- relative energy among the computed polymorphs (kJ/mol of atoms) = 13.8
- electronic total energy (eV/atom) = -4.3383
- formation energy (eV per atom) = -0.125
- symmetry = P2_1/m, No. 11

Cell and atoms, written as POSCAR:
```
Nd2HoIn
1.0
4.775 0.000 0.000
0.000 4.672 0.000
-2.359 0.000 11.392
Nd Ho In
4 2 2
Direct
0.060 0.250 0.122 Nd
0.427 0.250 0.852 Nd
0.573 0.750 0.148 Nd
0.940 0.750 0.878 Nd
0.306 0.750 0.608 Ho
0.694 0.250 0.392 Ho
0.167 0.750 0.337 In
0.833 0.250 0.663 In
```

2.
Below is a geometry-optimized Nd2Ho3In4 structure, with properties calculated at the GGA-PBE level.

- electronic total energy (eV/atom) = -4.1055
- formation energy (eV per atom) = -0.303
- symmetry = Cmce, No. 64

Cell and atoms, written as POSCAR:
```
Nd2Ho3In4
1.0
3.523 -8.432 0.000
3.523 8.432 0.000
0.000 0.000 9.026
Nd Ho In
4 6 8
Direct
0.108 0.892 0.921 Nd
0.392 0.608 0.421 Nd
0.608 0.392 0.579 Nd
0.892 0.108 0.079 Nd
0.000 0.000 0.500 Ho
0.030 0.470 0.750 Ho
0.470 0.030 0.250 Ho
0.500 0.500 0.000 Ho
0.530 0.970 0.750 Ho
0.970 0.530 0.250 Ho
0.181 0.819 0.540 In
0.211 0.289 0.750 In
0.289 0.211 0.250 In
0.319 0.681 0.040 In
0.681 0.319 0.960 In
0.711 0.789 0.750 In
0.789 0.711 0.250 In
0.819 0.181 0.460 In
```

3.
Below is a geometry-optimized NdHoIn4 structure, with properties calculated at the GGA-PBE level.

- relative energy among the computed polymorphs (kJ/mol of atoms) = 7.4
- electronic total energy (eV/atom) = -3.6701
- formation energy (eV per atom) = -0.287
- symmetry = Cmmm, No. 65

Cell and atoms, written as POSCAR:
```
NdHoIn4
1.0
2.484 -2.652 0.000
2.484 2.652 0.000
0.000 0.000 12.265
Nd Ho In
1 1 4
Direct
0.000 0.000 0.000 Nd
0.500 0.500 0.500 Ho
0.000 0.000 0.331 In
0.000 0.000 0.669 In
0.500 0.500 0.181 In
0.500 0.500 0.819 In
```

4.
Below is a geometry-optimized Nd14HoIn structure, with properties calculated at the GGA-PBE level.

- electronic total energy (eV/atom) = -4.6707
- formation energy (eV per atom) = -0.042
- symmetry = P4/mmm, No. 123

Cell and atoms, written as POSCAR:
```
Nd14HoIn
1.0
7.252 0.000 0.000
0.000 7.252 0.000
0.000 0.000 10.317
Nd Ho In
14 1 1
Direct
0.000 0.000 0.000 Nd
0.000 0.500 0.000 Nd
0.000 0.500 0.500 Nd
0.248 0.248 0.255 Nd
0.248 0.248 0.745 Nd
0.248 0.752 0.255 Nd
0.248 0.752 0.745 Nd
0.500 0.000 0.000 Nd
0.500 0.000 0.500 Nd
0.500 0.500 0.000 Nd
0.752 0.248 0.255 Nd
0.752 0.248 0.745 Nd
0.752 0.752 0.255 Nd
0.752 0.752 0.745 Nd
0.500 0.500 0.500 Ho
0.000 0.000 0.500 In
```

5.
Below is a geometry-optimized Nd15Ho4In structure, with properties calculated at the GGA-PBE level.

- electronic total energy (eV/atom) = -4.6667
- formation energy (eV per atom) = -0.038
- symmetry = P4/mmm, No. 123

Cell and atoms, written as POSCAR:
```
Nd15Ho4In
1.0
5.106 0.000 0.000
0.000 5.106 0.000
0.000 0.000 25.740
Nd Ho In
15 4 1
Direct
0.000 0.000 0.000 Nd
0.000 0.000 0.197 Nd
0.000 0.000 0.399 Nd
0.000 0.000 0.601 Nd
0.000 0.000 0.803 Nd
0.000 0.500 0.097 Nd
0.000 0.500 0.299 Nd
0.000 0.500 0.500 Nd
0.000 0.500 0.701 Nd
0.000 0.500 0.903 Nd
0.500 0.000 0.097 Nd
0.500 0.000 0.299 Nd
0.500 0.000 0.500 Nd
0.500 0.000 0.701 Nd
0.500 0.000 0.903 Nd
0.500 0.500 0.198 Ho
0.500 0.500 0.400 Ho
0.500 0.500 0.600 Ho
0.500 0.500 0.802 Ho
0.500 0.500 0.000 In
```

6.
Below is a geometry-optimized Nd3Ho3In2 structure, with properties calculated at the GGA-PBE level.

- relative energy among the computed polymorphs (kJ/mol of atoms) = 0.0
- electronic total energy (eV/atom) = -4.4533
- formation energy (eV per atom) = -0.264
- symmetry = Pmmm, No. 47

Cell and atoms, written as POSCAR:
```
Nd3Ho3In2
1.0
4.880 0.000 0.000
0.000 4.898 0.000
0.000 0.000 9.901
Nd Ho In
3 3 2
Direct
0.000 0.000 0.000 Nd
0.000 0.000 0.500 Nd
0.500 0.500 0.000 Nd
0.500 0.000 0.252 Ho
0.500 0.000 0.748 Ho
0.500 0.500 0.500 Ho
0.000 0.500 0.254 In
0.000 0.500 0.746 In
```

7.
Below is a geometry-optimized Nd6Ho5In structure, with properties calculated at the GGA-PBE level.

- electronic total energy (eV/atom) = -4.5767
- formation energy (eV per atom) = -0.057
- symmetry = Immm, No. 71

Cell and atoms, written as POSCAR:
```
Nd6Ho5In
1.0
-2.525 4.997 7.650
2.525 -4.997 7.650
2.525 4.997 -7.650
Nd Ho In
6 5 1
Direct
0.080 0.334 0.746 Nd
0.245 0.000 0.245 Nd
0.411 0.666 0.746 Nd
0.589 0.334 0.254 Nd
0.755 0.000 0.755 Nd
0.920 0.666 0.254 Nd
0.167 0.167 0.000 Ho
0.336 0.836 0.500 Ho
0.500 0.500 0.000 Ho
0.664 0.164 0.500 Ho
0.833 0.833 0.000 Ho
0.000 0.500 0.500 In
```

8.
Below is a geometry-optimized Nd2HoIn3 structure, with properties calculated at the GGA-PBE level.

- relative energy among the computed polymorphs (kJ/mol of atoms) = 17.4
- electronic total energy (eV/atom) = -4.0243
- formation energy (eV per atom) = -0.303
- symmetry = Cmcm, No. 63

Cell and atoms, written as POSCAR:
```
Nd2HoIn3
1.0
1.875 -14.692 0.000
1.875 14.692 0.000
0.000 0.000 6.582
Nd Ho In
4 2 6
Direct
0.005 0.995 0.750 Nd
0.154 0.846 0.250 Nd
0.846 0.154 0.750 Nd
0.995 0.005 0.250 Nd
0.331 0.669 0.250 Ho
0.669 0.331 0.750 Ho
0.254 0.746 0.750 In
0.422 0.578 0.509 In
0.422 0.578 0.991 In
0.578 0.422 0.009 In
0.578 0.422 0.491 In
0.746 0.254 0.250 In
```

9.
Below is a geometry-optimized Nd5Ho4In4 structure, with properties calculated at the GGA-PBE level.

- electronic total energy (eV/atom) = -4.3925
- formation energy (eV per atom) = -0.308
- symmetry = I4/m, No. 87

Cell and atoms, written as POSCAR:
```
Nd5Ho4In4
1.0
-6.268 6.268 2.547
6.268 -6.268 2.547
6.268 6.268 -2.547
Nd Ho In
5 4 4
Direct
0.000 0.000 0.000 Nd
0.308 0.600 0.908 Nd
0.400 0.308 0.708 Nd
0.600 0.692 0.292 Nd
0.692 0.400 0.092 Nd
0.095 0.396 0.491 Ho
0.396 0.905 0.301 Ho
0.604 0.095 0.699 Ho
0.905 0.604 0.509 Ho
0.101 0.762 0.862 In
0.238 0.101 0.339 In
0.762 0.899 0.661 In
0.899 0.238 0.138 In
```

10.
Below is a geometry-optimized Nd7HoIn4 structure, with properties calculated at the GGA-PBE level.

- electronic total energy (eV/atom) = -4.2130
- formation energy (eV per atom) = -0.137
- symmetry = C2/m, No. 12

Cell and atoms, written as POSCAR:
```
Nd7HoIn4
1.0
7.378 -2.920 0.000
7.378 2.920 0.000
-5.915 0.000 8.943
Nd Ho In
7 1 4
Direct
0.000 0.000 0.000 Nd
0.222 0.222 0.662 Nd
0.295 0.295 0.119 Nd
0.437 0.437 0.608 Nd
0.563 0.563 0.392 Nd
0.705 0.705 0.881 Nd
0.778 0.778 0.338 Nd
0.500 0.500 0.000 Ho
0.057 0.057 0.752 In
0.181 0.181 0.334 In
0.819 0.819 0.666 In
0.943 0.943 0.248 In
```

11.
Below is a geometry-optimized Nd3Ho4In structure, with properties calculated at the GGA-PBE level.

- relative energy among the computed polymorphs (kJ/mol of atoms) = 0.0
- electronic total energy (eV/atom) = -4.5302
- formation energy (eV per atom) = -0.111
- symmetry = Pmn2_1, No. 31

Cell and atoms, written as POSCAR:
```
Nd3Ho4In
1.0
11.300 0.000 0.000
0.000 7.111 0.000
0.000 0.000 6.233
Nd Ho In
6 8 2
Direct
0.000 0.127 0.000 Nd
0.238 0.116 0.347 Nd
0.262 0.884 0.847 Nd
0.500 0.873 0.500 Nd
0.738 0.884 0.847 Nd
0.762 0.116 0.347 Nd
0.000 0.380 0.540 Ho
0.000 0.628 0.020 Ho
0.239 0.623 0.362 Ho
0.261 0.377 0.862 Ho
0.500 0.372 0.520 Ho
0.500 0.620 0.040 Ho
0.739 0.377 0.862 Ho
0.761 0.623 0.362 Ho
0.000 0.860 0.526 In
0.500 0.140 0.026 In
```

12.
Below is a geometry-optimized Nd3Ho2In4 structure, with properties calculated at the GGA-PBE level.

- electronic total energy (eV/atom) = -4.0552
- formation energy (eV per atom) = -0.232
- symmetry = Cmce, No. 64

Cell and atoms, written as POSCAR:
```
Nd3Ho2In4
1.0
3.594 -7.700 0.000
3.594 7.700 0.000
0.000 0.000 10.101
Nd Ho In
6 4 8
Direct
0.000 0.000 0.000 Nd
0.022 0.478 0.250 Nd
0.478 0.022 0.750 Nd
0.500 0.500 0.500 Nd
0.522 0.978 0.250 Nd
0.978 0.522 0.750 Nd
0.104 0.896 0.468 Ho
0.396 0.604 0.968 Ho
0.604 0.396 0.032 Ho
0.896 0.104 0.532 Ho
0.198 0.802 0.013 In
0.244 0.256 0.250 In
0.256 0.244 0.750 In
0.302 0.698 0.513 In
0.698 0.302 0.487 In
0.744 0.756 0.250 In
0.756 0.744 0.750 In
0.802 0.198 0.987 In
```